1.
A plane-wave DFT calculation with GGA-PBE was carried out for AcTc2Ge2 after structural relaxation.

abc: 4.343 4.343 10.837
angles: 90.00 90.00 90.00
Space group I4/mmm (No. 139)
Inequivalent atoms, fractional coordinates:
1 Ac 0.000 0.000 0.000 x2
2 Tc 0.000 0.500 0.250 x4
3 Ge 0.000 0.000 0.366 x4

Computed properties:
DFT formation energy (eV per atom): -0.38
M_tot (μB/cell): 0.00
Final energy (eV per atom): -7.193
Distance to the lowest polymorph of the same formula (meV/atom): 78.1

***

2.
A plane-wave DFT calculation with GGA-PBE was carried out for AcTcGe3 after structural relaxation.

abc: 4.581 4.581 10.351
angles: 90.00 90.00 90.00
Space group I4mm (No. 107)
Inequivalent atoms, fractional coordinates:
1 Ac 0.000 0.000 0.000 x2
2 Tc 0.000 0.000 0.341 x2
3 Ge 0.000 0.000 0.574 x2
4 Ge 0.000 0.500 0.244 x4

Computed properties:
DFT formation energy (eV per atom): -0.46
M_tot (μB/cell): 0.00
Final energy (eV per atom): -6.126
Distance to the lowest polymorph of the same formula (meV/atom): 0.0

***

3.
A plane-wave DFT calculation with GGA-PBE was carried out for AcTc2Ge2 after structural relaxation.

abc: 4.269 4.340 22.209
angles: 90.00 90.00 90.00
Space group Imma (No. 74)
Inequivalent atoms, fractional coordinates:
1 Ac 0.000 0.250 0.159 x4
2 Tc 0.000 0.250 0.466 x4
3 Tc 0.000 0.250 0.967 x4
4 Ge 0.000 0.250 0.598 x4
5 Ge 0.000 0.250 0.720 x4

Computed properties:
DFT formation energy (eV per atom): -0.46
M_tot (μB/cell): 0.00
Final energy (eV per atom): -7.271
Distance to the lowest polymorph of the same formula (meV/atom): 0.0

***

4.
A plane-wave DFT calculation with GGA-PBE was carried out for Ac3TcGe5 after structural relaxation.

abc: 9.2954 9.2954 6.0963
angles: 90.00 90.00 120.00
Space group P6_3/mcm (No. 193)
Inequivalent atoms, fractional coordinates:
1 Ac 0.0000 0.3811 0.2500 x6
2 Tc 0.0000 0.0000 0.0000 x2
3 Ge 0.0000 0.2247 0.7500 x6
4 Ge 0.3333 0.6667 0.0000 x4

Computed properties:
DFT formation energy (eV per atom): -0.48
M_tot (μB/cell): 0.00
Final energy (eV per atom): -5.564

***

5.
A plane-wave DFT calculation with GGA-PBE was carried out for Ac4TcGe5 after structural relaxation.

abc: 9.571 9.571 6.521
angles: 90.00 90.00 90.00
Space group I4 (No. 79)
Inequivalent atoms, fractional coordinates:
1 Ac 0.081 0.306 0.000 x8
2 Tc 0.000 0.000 0.444 x2
3 Ge 0.000 0.000 0.081 x2
4 Ge 0.092 0.251 0.502 x8

Computed properties:
DFT formation energy (eV per atom): -0.34
M_tot (μB/cell): 0.00
Final energy (eV per atom): -5.328

***

6.
A plane-wave DFT calculation with GGA-PBE was carried out for Ac4TcGe after structural relaxation.

abc: 9.716 14.312 6.859
angles: 90.00 120.49 90.00
Space group C2/c (No. 15)
Inequivalent atoms, fractional coordinates:
1 Ac 0.122 0.174 0.083 x8
2 Ac 0.211 0.434 0.300 x8
3 Tc 0.000 0.002 0.750 x4
4 Ge 0.000 0.373 0.750 x4

Computed properties:
DFT formation energy (eV per atom): -0.19
M_tot (μB/cell): 0.00
Final energy (eV per atom): -5.430

***

7.
A plane-wave DFT calculation with GGA-PBE was carried out for AcTc2Ge after structural relaxation.

abc: 4.4500 4.4500 16.7947
angles: 90.00 90.00 120.00
Space group R-3m (No. 166, hexagonal axes)
Inequivalent atoms, fractional coordinates:
1 Ac 0.0000 0.0000 0.0000 x3
2 Tc 0.0000 0.0000 0.1794 x6
3 Ge 0.0000 0.0000 0.5000 x3

Computed properties:
DFT formation energy (eV per atom): -0.15
M_tot (μB/cell): 0.00
Final energy (eV per atom): -7.517

***

8.
A plane-wave DFT calculation with GGA-PBE was carried out for AcTc2Ge3 after structural relaxation.

abc: 10.200 7.858 5.849
angles: 90.00 90.00 90.00
Space group Cmcm (No. 63)
Inequivalent atoms, fractional coordinates:
1 Ac 0.000 0.162 0.250 x4
2 Tc 0.198 0.500 0.000 x8
3 Ge 0.000 0.436 0.750 x4
4 Ge 0.185 0.211 0.750 x8

Computed properties:
DFT formation energy (eV per atom): -0.31
M_tot (μB/cell): 0.00
Final energy (eV per atom): -6.763

***

9.
A plane-wave DFT calculation with GGA-PBE was carried out for Ac3Tc2Ge6 after structural relaxation.

abc: 4.675 4.675 26.577
angles: 90.00 90.00 90.00
Space group I4/mmm (No. 139)
Inequivalent atoms, fractional coordinates:
1 Ac 0.000 0.000 0.000 x2
2 Ac 0.000 0.000 0.180 x4
3 Tc 0.000 0.000 0.386 x4
4 Ge 0.000 0.000 0.297 x4
5 Ge 0.000 0.500 0.085 x8

Computed properties:
DFT formation energy (eV per atom): -0.39
M_tot (μB/cell): 0.00
Final energy (eV per atom): -5.913

***

10.
A plane-wave DFT calculation with GGA-PBE was carried out for Ac2TcGe3 after structural relaxation.

abc: 4.677 4.730 15.546
angles: 90.00 90.00 90.00
Space group Immm (No. 71)
Inequivalent atoms, fractional coordinates:
1 Ac 0.000 0.000 0.139 x4
2 Tc 0.000 0.000 0.500 x2
3 Ge 0.000 0.000 0.342 x4
4 Ge 0.000 0.500 0.000 x2

Computed properties:
DFT formation energy (eV per atom): -0.30
M_tot (μB/cell): 0.00
Final energy (eV per atom): -5.704

***

11.
A plane-wave DFT calculation with GGA-PBE was carried out for AcTcGe3 after structural relaxation.

abc: 6.2798 6.2798 6.0527
angles: 90.00 90.00 120.00
Space group P6_3/mmc (No. 194)
Inequivalent atoms, fractional coordinates:
1 Ac 0.3333 0.6667 0.2500 x2
2 Tc 0.0000 0.0000 0.0000 x2
3 Ge 0.1924 0.3847 0.7500 x6

Computed properties:
DFT formation energy (eV per atom): -0.45
M_tot (μB/cell): 0.00
Final energy (eV per atom): -6.116
Distance to the lowest polymorph of the same formula (meV/atom): 9.6

***

12.
A plane-wave DFT calculation with GGA-PBE was carried out for AcTcGe4 after structural relaxation.

abc: 11.653 6.490 7.014
angles: 90.00 96.83 90.00
Space group C2/c (No. 15)
Inequivalent atoms, fractional coordinates:
1 Ac 0.000 0.103 0.250 x4
2 Tc 0.250 0.250 0.000 x4
3 Ge 0.059 0.393 0.904 x8
4 Ge 0.247 0.114 0.650 x8

Computed properties:
DFT formation energy (eV per atom): -0.24
M_tot (μB/cell): 0.00
Final energy (eV per atom): -5.727